A plane-wave DFT calculation with GGA-PBE was carried out for a geometry-optimized Ga2PbAu2 structure.

Summary:
For the excess energy over the best structure of this formula in the dataset, the calculation gives 0 meV/atom. The calculation puts the formation energy at -0.155 eV per atom. Its mass density is 11.3 g/cm3. The calculation puts the raw total energy at -34.181 eV per cell.

Geometry as CIF:
```
data_Ga2PbAu2
_chemical_formula_sum 'Ga4 Pb2 Au4'
_space_group_name_H-M_alt 'P 4/n m m'
_space_group_IT_number 129
_cell_length_a 4.4794
_cell_length_b 4.4794
_cell_length_c 10.8574
_cell_angle_alpha 90.00
_cell_angle_beta 90.00
_cell_angle_gamma 90.00
loop_
_space_group_symop_operation_xyz
'x,y,z'
'-x,-y,-z'
'-y+1/2,x,z'
'y+1/2,-x,-z'
'-x+1/2,-y+1/2,z'
'x+1/2,y+1/2,-z'
'y,-x+1/2,z'
'-y,x+1/2,-z'
'x+1/2,-y,-z'
'-x+1/2,y,z'
'-y,-x,-z'
'y,x,z'
'-x,y+1/2,-z'
'x,-y+1/2,z'
'y+1/2,x+1/2,-z'
'-y+1/2,-x+1/2,z'
loop_
_atom_site_label
_atom_site_fract_x
_atom_site_fract_y
_atom_site_fract_z
_atom_site_occupancy
Ga1 0.2500 0.2500 0.1303 1
Ga2 0.2500 0.7500 0.5000 1
Pb1 0.2500 0.2500 0.7637 1
Au1 0.2500 0.2500 0.3665 1
Au2 0.2500 0.7500 0.0000 1
```